VASP calculation (GGA-PBE) on a relaxed BaUP2Pd2 crystal.

Properties
- Symmetry: P-3m1
- Magnetization: 2.06 μB per formula unit
- Total energy: -6.618 eV/atom

Cell lengths 4.260, 4.260, 8.274 Å; angles 90.00, 90.00, 120.00 degrees
Last column: magnetic moment on the atom in μB.
Fractional positions:
Pd: 0.667 0.333 0.281  -0.03
Pd: 0.333 0.667 0.719  -0.03
P: 0.667 0.333 0.702  -0.04
P: 0.333 0.667 0.298  -0.04
U: 0.000 0.000 0.500  2.01
Ba: 0.000 0.000 0.000  0.02